! TlCuBr2 PBE-GGA optimized geometry; values from VASP
! polymorph energy (0 for the lowest one): 126 meV per atom
! density of states at the Fermi level: 0.71 states/eV per cell
! formation energy from raw total energies: -416 meV/atom
&SYSTEM
  ibrav = 0, nat = 4, ntyp = 3
/
ATOMIC_SPECIES
Cu 63.55 Cu.upf
Tl 204.38 Tl.upf
Br 79.90 Br.upf
ATOMIC_POSITIONS crystal
Cu 0.7500 0.2500 0.5000
Tl 0.2500 0.7500 0.5000
Br 0.5628 0.5628 0.0000
Br 0.9372 0.9372 0.0000
CELL_PARAMETERS angstrom
-1.6065 -5.3346 1.9629
5.2811 -2.6461 -0.0068
-3.0678 4.3082 2.6305

! SmHo2Tm3Te6 PBE-GGA optimized geometry; values from VASP
! density of states at the Fermi level: 6.36 states/eV per cell
! formation energy from raw total energies: -1231 meV/atom
&SYSTEM
  ibrav = 0, nat = 12, ntyp = 4
/
ATOMIC_SPECIES
Te 127.60 Te.upf
Sm 150.36 Sm.upf
Tm 168.93 Tm.upf
Ho 164.93 Ho.upf
ATOMIC_POSITIONS crystal
Te 0.0002 0.7413 0.0003
Te 0.3326 0.4162 0.6652
Te 0.6674 0.5838 0.3348
Te 0.3285 0.9184 0.6570
Sm 0.5000 0.0000 0.0000
Tm 0.1626 0.8312 0.3253
Te 0.9998 0.2587 0.9997
Ho 0.8364 0.6727 0.6728
Tm 0.8374 0.1688 0.6747
Ho 0.1636 0.3273 0.3272
Te 0.6715 0.0816 0.3430
Tm 0.5000 0.5000 0.0000
CELL_PARAMETERS angstrom
4.3058 0.0000 0.0000
0.0000 8.7342 0.2340
-2.1529 -2.5986 9.1370

! PaNi2Au PBE-GGA optimized geometry; values from VASP
! polymorph energy (0 for the lowest one): 664 meV per atom
! formation enthalpy at 0 K: 0.3550 eV/atom
! density of states at the Fermi level: 3.38 states/eV per cell
&SYSTEM
  ibrav = 0, nat = 4, ntyp = 3
/
ATOMIC_SPECIES
Pa 231.04 Pa.upf
Ni 58.69 Ni.upf
Au 196.97 Au.upf
ATOMIC_POSITIONS crystal
Pa 0.5000 0.5000 0.5000
Ni 0.0978 0.0978 0.7066
Ni 0.9022 0.9022 0.2934
Au 0.0000 0.0000 0.0000
CELL_PARAMETERS angstrom
3.3074 0.0000 0.0000
1.6537 2.8643 0.0000
1.6537 0.9548 8.6028

! ScMo2Br PBE-GGA optimized geometry; values from VASP
! polymorph energy (0 for the lowest one): 1036 meV per atom
! density of states at the Fermi level: 5.22 states/eV per cell
! formation energy from raw total energies: 962 meV/atom
&SYSTEM
  ibrav = 0, nat = 4, ntyp = 3
/
ATOMIC_SPECIES
Mo 95.94 Mo.upf
Sc 44.96 Sc.upf
Br 79.90 Br.upf
ATOMIC_POSITIONS crystal
Mo 0.2500 0.2500 0.2500
Mo 0.7500 0.7500 0.7500
Sc 0.0000 0.0000 0.0000
Br 0.5000 0.5000 0.5000
CELL_PARAMETERS angstrom
0.0000 3.2526 3.2526
3.2526 0.0000 3.2526
3.2526 3.2526 0.0000

! La3HgGe PBE-GGA optimized geometry; values from VASP
! polymorph energy (0 for the lowest one): 59 meV per atom
! formation enthalpy at 0 K: -0.4555 eV/atom
! density of states at the Fermi level: 11.45 states/eV per cell
&SYSTEM
  ibrav = 0, nat = 10, ntyp = 3
/
ATOMIC_SPECIES
La 138.91 La.upf
Ge 72.64 Ge.upf
Hg 200.59 Hg.upf
ATOMIC_POSITIONS crystal
La 0.0001 0.2500 0.7406
La 0.9999 0.7500 0.2594
Ge 0.4999 0.7500 0.3039
Hg 0.0000 0.7500 0.8816
La 0.5001 0.7500 0.6308
Hg 0.0000 0.2500 0.1184
La 0.4999 0.2500 0.3692
Ge 0.5001 0.2500 0.6961
La 0.5000 0.0000 0.0000
La 0.5000 0.5000 0.0000
CELL_PARAMETERS angstrom
-3.8785 4.3438 -0.6755
-3.3839 -3.6085 -3.7748
-4.7782 -3.1324 7.2778

! Zr3PbW PBE-GGA optimized geometry; values from VASP
! polymorph energy (0 for the lowest one): 0 meV per atom
! formation enthalpy at 0 K: 0.6820 eV/atom
! density of states at the Fermi level: 7.19 states/eV per cell
&SYSTEM
  ibrav = 0, nat = 5, ntyp = 3
/
ATOMIC_SPECIES
Pb 207.20 Pb.upf
Zr 91.22 Zr.upf
W 183.84 W.upf
ATOMIC_POSITIONS crystal
Pb 0.5000 0.5000 0.5000
Zr 0.0000 0.0000 0.5000
Zr 0.0000 0.5000 0.0000
W 0.0000 0.0000 0.0000
Zr 0.5000 0.0000 0.0000
CELL_PARAMETERS angstrom
5.1181 0.0000 0.0000
0.0000 5.1181 0.0000
0.0000 0.0000 5.1181

! Li2Ge2S3 PBE-GGA optimized geometry; values from VASP
! formation energy from raw total energies: -629 meV/atom
&SYSTEM
  ibrav = 0, nat = 14, ntyp = 3
/
ATOMIC_SPECIES
Li 6.94 Li.upf
S 32.06 S.upf
Ge 72.64 Ge.upf
ATOMIC_POSITIONS crystal
Li 0.0901 0.1197 0.6100
Li 0.9099 0.8803 0.3900
S 0.8393 0.5921 0.2998
Li 0.4099 0.6197 0.3900
S 0.3393 0.9079 0.2998
S 0.5000 0.5000 0.0000
Ge 0.8720 0.6394 0.8984
Li 0.5901 0.3803 0.6100
Ge 0.1280 0.3606 0.1016
Ge 0.6280 0.1394 0.1016
Ge 0.3720 0.8606 0.8984
S 0.1607 0.4079 0.7002
S 0.6607 0.0921 0.7002
S 0.0000 0.0000 0.0000
CELL_PARAMETERS angstrom
-3.9534 2.8451 -4.3126
-5.6231 0.9631 5.7900
0.3148 6.1508 -0.7173

! Tb4Er7Pu PBE-GGA optimized geometry; values from VASP
! formation enthalpy at 0 K: 0.1408 eV/atom
! density of states at the Fermi level: 18.81 states/eV per cell
&SYSTEM
  ibrav = 0, nat = 12, ntyp = 3
/
ATOMIC_SPECIES
Er 167.26 Er.upf
Tb 158.93 Tb.upf
Pu 244.00 Pu.upf
ATOMIC_POSITIONS crystal
Er 0.5253 0.8509 0.4622
Tb 0.3738 0.4101 0.7372
Pu 0.0000 0.0000 0.0000
Er 0.9845 0.3127 0.5388
Er 0.0155 0.6873 0.4612
Er 0.4747 0.1491 0.5378
Er 0.5000 0.0000 0.0000
Tb 0.6262 0.5899 0.2628
Er 0.7482 0.3858 0.9995
Er 0.2518 0.6142 0.0005
Tb 0.8897 0.8524 0.7372
Tb 0.1103 0.1476 0.2628
CELL_PARAMETERS angstrom
-2.1725 4.9450 -2.4134
0.0821 3.8702 8.5758
5.2126 6.6328 2.0054